TbUCo2 after structural relaxation, computed with GGA-PBE.

abc: 3.276 3.276 6.775
angles: 90.00 90.00 90.00
Positions (direct):
Tb: 0.000 0.000 0.000
U: 0.000 0.000 0.500
Co: 0.500 0.500 0.305
Co: 0.500 0.500 0.695

- raw total energy (eV/cell) = -30.6
- formation enthalpy at 0 K (kJ per mole of atoms) = -11
- size of the total moment (μB/atom) = 0.15
- symmetry = P4/mmm, No. 123